# 1
Entry from the Alexandria database: a PBEsol-optimized structure of SrMoSe3 (meta-GGA SCAN).

CIF file:
```
data_SrMoSe3
_cell_length_a 4.958
_cell_length_b 4.958
_cell_length_c 4.958
_cell_angle_alpha 90.00
_cell_angle_beta 90.00
_cell_angle_gamma 90.00
_symmetry_space_group_name_H-M 'P m -3 m'
_symmetry_Int_Tables_number 221
_symmetry_space_group_name_Hall '-P 4 2 3'
loop_
_atom_site_label
_atom_site_type_symbol
_atom_site_fract_x
_atom_site_fract_y
_atom_site_fract_z
_atom_site_occupancy
Sr1 Sr 0.000 0.000 0.000 1
Mo1 Mo 0.500 0.500 0.500 1
Se1 Se 0.000 0.500 0.500 1
```

Values from the calculation:
Formation energy from raw total energies (meV/atom): -787
Crystal system: cubic
Energy (eV for the cell shown): -121.3

# 2
Entry from the Alexandria database: a PBEsol-optimized structure of Tl2TePb (meta-GGA SCAN).

CIF file:
```
data_Tl2TePb
_cell_length_a 3.333
_cell_length_b 5.763
_cell_length_c 6.129
_cell_angle_alpha 90.00
_cell_angle_beta 91.01
_cell_angle_gamma 90.00
_symmetry_space_group_name_H-M 'P 1 m 1'
_symmetry_Int_Tables_number 6
_symmetry_space_group_name_Hall 'P -2y'
loop_
_atom_site_label
_atom_site_type_symbol
_atom_site_fract_x
_atom_site_fract_y
_atom_site_fract_z
_atom_site_occupancy
Tl1 Tl 0.000 0.000 0.000 1
Tl2 Tl 0.056 0.500 0.703 1
Te1 Te 0.536 0.000 0.491 1
Pb1 Pb 0.530 0.500 0.215 1
```

Values from the calculation:
Energy above the lowest structure with this stoichiometry (eV/atom): 0.062
Formation energy from raw total energies (meV/atom): -65
Crystal system: monoclinic
Energy (eV for the cell shown): -258.0

# 3
Entry from the Alexandria database: a PBEsol-optimized structure of MnInSb2 (meta-GGA SCAN).

CIF file:
```
data_MnInSb2
_cell_length_a 4.701
_cell_length_b 4.701
_cell_length_c 8.267
_cell_angle_alpha 90.00
_cell_angle_beta 90.00
_cell_angle_gamma 90.00
_symmetry_space_group_name_H-M 'I 4/m m m'
_symmetry_Int_Tables_number 139
_symmetry_space_group_name_Hall '-I 4 2'
loop_
_atom_site_label
_atom_site_type_symbol
_atom_site_fract_x
_atom_site_fract_y
_atom_site_fract_z
_atom_site_occupancy
Mn1 Mn 0.000 0.000 0.000 1
In1 In 0.000 0.000 0.500 1
Sb1 Sb 0.000 0.500 0.250 1
```

Values from the calculation:
Formation energy from raw total energies (meV/atom): 171
Crystal system: tetragonal
Energy (eV for the cell shown): -251.0

# 4
Entry from the Alexandria database: a PBEsol-optimized structure of NaAsIrBr2 (meta-GGA SCAN).

CIF file:
```
data_NaAsIrBr2
_cell_length_a 5.383
_cell_length_b 5.383
_cell_length_c 4.552
_cell_angle_alpha 90.00
_cell_angle_beta 90.00
_cell_angle_gamma 90.00
_symmetry_space_group_name_H-M 'P 4/m m m'
_symmetry_Int_Tables_number 123
_symmetry_space_group_name_Hall '-P 4 2'
loop_
_atom_site_label
_atom_site_type_symbol
_atom_site_fract_x
_atom_site_fract_y
_atom_site_fract_z
_atom_site_occupancy
Na1 Na 0.000 0.000 0.000 1
As1 As 0.500 0.500 0.000 1
Ir1 Ir 0.500 0.500 0.500 1
Br1 Br 0.000 0.500 0.500 1
```

Values from the calculation:
Formation energy from raw total energies (meV/atom): -228
Crystal system: tetragonal
Energy (eV for the cell shown): -135.6